# DyScBeHg PBE-GGA relaxed
data_DyScBeHg
_cell_length_a 6.995
_cell_length_b 6.995
_cell_length_c 6.995
_cell_angle_alpha 90.00
_cell_angle_beta 90.00
_cell_angle_gamma 90.00
_space_group_name_H-M_alt 'F -4 3 m'
_space_group_IT_number 216
_space_group_name_Hall 'F -4 2 3'
loop_
_atom_site_label
_atom_site_type_symbol
_atom_site_fract_x
_atom_site_fract_y
_atom_site_fract_z
_atom_site_occupancy
Dy1 Dy 0.000 0.000 0.000 1
Sc1 Sc 0.000 0.000 0.500 1
Be1 Be 0.250 0.250 0.250 1
Hg1 Hg 0.250 0.250 0.750 1
# E_tot = -3.8635 eV per atom
# ΔH_f (0 K) = -123 meV/atom
# Volume = 342.20 Å³ per cell
# M_tot = 0.001 μB/f.u.